Ag2Te | PBE | relaxed

Cell lengths 4.776, 4.776, 8.822 Å; angles 90.00, 90.00, 120.00 degrees
Fractional positions:
Ag (0.333, 0.667, 0.077)
Ag (0.333, 0.667, 0.423)
Ag (0.667, 0.333, 0.577)
Ag (0.667, 0.333, 0.923)
Te (0.000, 0.000, 0.000)
Te (0.000, 0.000, 0.500)

Calculated density, g/cm³: 6.5
N(E_F), states/eV/cell: 1.0
Calculated total energy, eV/atom: -2.8041
Calculated volume, Å³/atom: 29.04

***

Ag2Te | PBE | relaxed

Cell lengths 7.217, 7.217, 6.907 Å; angles 105.42, 105.42, 24.19 degrees
Fractional positions:
Ag (0.172, 0.172, 0.042)
Ag (0.194, 0.194, 0.634)
Ag (0.806, 0.806, 0.366)
Ag (0.828, 0.828, 0.958)
Te (0.434, 0.434, 0.707)
Te (0.566, 0.566, 0.293)

Calculated density, g/cm³: 8.0
N(E_F), states/eV/cell: 0.9
Calculated total energy, eV/atom: -2.8644
Calculated volume, Å³/atom: 23.64

***

Number 1: uncorrected formation energy 0.144 eV/atom. Number 2: uncorrected formation energy 0.084 eV/atom.